! CrCuSe2 (GGA-PBE, optimized geometry); values from VASP
! SG: Cm
! E above lowest polymorph, meV/atom: 165
! Raw formation energy, eV/f.u.: -0.82
&SYSTEM
  ibrav = 0, nat = 4, ntyp = 3
/
ATOMIC_SPECIES
Se 78.96 Se.upf
Cu 63.55 Cu.upf
Cr 52.00 Cr.upf
CELL_PARAMETERS angstrom
6.227 -0.031 0.021
5.314 3.247 0.021
-0.009 -0.003 3.529
ATOMIC_POSITIONS angstrom
Se 0.372 0.104 0.439
Se 9.043 2.520 2.239
Cu 2.748 0.766 0.455
Cr 5.134 1.431 2.222